No. 1
This record from Alexandria describes a PBEsol-optimized structure of HgAu2Cl. The functional is meta-GGA SCAN.

Results
* polymorph energy (0 for the lowest one): 0.010 eV/atom
* raw formation energy: 0.6 eV per formula unit
* calculated total energy: -53.47 eV per atom
* M_tot: 0.00 μB per cell
* DOS(E_F): 1.33 states/eV/f.u.

Unit cell a=3.185 b=4.562 c=6.030 alpha=111.90 beta=104.86 gamma=91.17
Fractional positions:
Au  0.000  0.000  0.500
Au  0.500  0.500  0.500
Hg  0.000  0.000  0.000
Cl  0.500  0.500  0.000

---

No. 2
This record from Alexandria describes a PBEsol-optimized structure of ZrGeSeN2. The functional is meta-GGA SCAN.

Results
* polymorph energy (0 for the lowest one): 0.000 eV/atom
* raw formation energy: 1.1 eV per formula unit
* calculated total energy: -17.46 eV per atom
* M_tot: 1.94 μB per cell
* DOS(E_F): 1.99 states/eV/f.u.

Unit cell a=4.078 b=4.078 c=5.490 alpha=90.00 beta=90.00 gamma=90.00
Fractional positions:
Ge  0.500  0.500  0.500
Se  0.000  0.000  0.500
Zr  0.000  0.000  0.000
N  0.000  0.500  0.000
N  0.500  0.000  0.000

---

No. 3
This record from Alexandria describes a PBEsol-optimized structure of CrFe2Ru. The functional is meta-GGA SCAN.

Results
* calculated total energy: -22.35 eV per atom
* ΔE_f: 18 meV/atom
* M_tot: 3.68 μB per cell
* DOS(E_F): 3.25 states/eV/f.u.

Unit cell a=2.847 b=2.847 c=5.750 alpha=90.00 beta=90.00 gamma=90.00
Fractional positions:
Ru  0.000  0.000  0.507
Fe  0.000  0.000  0.001
Fe  0.500  0.500  0.228
Cr  0.500  0.500  0.764

---

No. 4
This record from Alexandria describes a PBEsol-optimized structure of K2TlAgF6. The functional is meta-GGA SCAN.

Results
* raw formation energy: -21.7 eV per formula unit
* calculated total energy: -16.33 eV per atom
* M_tot: 0.00 μB per cell
* DOS(E_F): 0.22 states/eV/f.u.

Unit cell a=6.325 b=6.325 c=6.325 alpha=60.00 beta=60.00 gamma=60.00
Fractional positions:
K  0.750  0.750  0.750
K  0.250  0.250  0.250
Tl  0.000  0.000  0.000
Ag  0.500  0.500  0.500
F  0.756  0.244  0.244
F  0.756  0.756  0.244
F  0.244  0.756  0.756
F  0.756  0.244  0.756
F  0.244  0.756  0.244
F  0.244  0.244  0.756

---

No. 5
This record from Alexandria describes a PBEsol-optimized structure of KMg2Pt. The functional is meta-GGA SCAN.

Results
* calculated total energy: -22.40 eV per atom
* ΔE_f: -287 meV/atom
* M_tot: 0.00 μB per cell
* DOS(E_F): 1.60 states/eV/f.u.

Unit cell a=3.570 b=3.570 c=8.083 alpha=90.00 beta=90.00 gamma=89.99
Fractional positions:
K  0.500  0.500  0.708
Mg  0.000  0.000  0.078
Mg  0.500  0.500  0.311
Pt  0.000  0.000  0.403

---

No. 6
This record from Alexandria describes a PBEsol-optimized structure of ZnInSb3. The functional is meta-GGA SCAN.

Results
* raw formation energy: 4.9 eV per formula unit
* calculated total energy: -30.76 eV per atom
* M_tot: 0.00 μB per cell
* DOS(E_F): 4.49 states/eV/f.u.

Unit cell a=5.532 b=5.532 c=5.532 alpha=90.00 beta=90.00 gamma=90.00
Fractional positions:
Sb  0.000  0.500  0.000
Sb  0.000  0.000  0.500
Sb  0.500  0.000  0.000
Zn  0.500  0.500  0.500
In  0.000  0.000  0.000

---

No. 7
This record from Alexandria describes a PBEsol-optimized structure of KPS2O. The functional is meta-GGA SCAN.

Results
* raw formation energy: 1.5 eV per formula unit
* calculated total energy: -8.55 eV per atom
* M_tot: 0.00 μB per cell
* DOS(E_F): 2.26 states/eV/f.u.

Unit cell a=3.713 b=4.887 c=4.887 alpha=90.00 beta=90.00 gamma=90.00
Fractional positions:
P  0.500  0.000  0.000
K  0.500  0.500  0.500
S  0.000  0.000  0.500
S  0.000  0.500  0.000
O  0.000  0.000  0.000

---

No. 8
This record from Alexandria describes a PBEsol-optimized structure of FeTcPb2. The functional is meta-GGA SCAN.

Results
* polymorph energy (0 for the lowest one): 0.453 eV/atom
* calculated total energy: -50.40 eV per atom
* ΔE_f: 790 meV/atom
* M_tot: 3.96 μB per cell
* DOS(E_F): 3.41 states/eV/f.u.

Unit cell a=3.962 b=3.962 c=5.462 alpha=111.27 beta=111.27 gamma=90.00
Fractional positions:
Fe  0.250  0.750  0.500
Pb  0.000  0.000  0.000
Pb  0.750  0.250  0.500
Tc  0.500  0.500  0.000

---

No. 9
This record from Alexandria describes a PBEsol-optimized structure of La6ZnSi2S14. The functional is meta-GGA SCAN.

Results
* raw formation energy: -45.2 eV per formula unit
* calculated total energy: -20.53 eV per atom
* M_tot: 0.00 μB per cell
* DOS(E_F): 0.00 states/eV/f.u.

Unit cell a=5.694 b=10.215 c=10.215 alpha=120.00 beta=90.00 gamma=90.00
Fractional positions:
La  0.750  0.023  0.566
La  0.750  0.543  0.977
La  0.750  0.434  0.457
La  0.246  0.310  0.102
La  0.246  0.792  0.690
La  0.246  0.898  0.208
Zn  0.502  0.667  0.333
Si  0.168  0.333  0.667
Si  0.660  0.000  0.000
S  0.537  0.333  0.667
S  0.030  0.000  0.000
S  0.271  0.910  0.492
S  0.271  0.581  0.090
S  0.271  0.508  0.419
S  0.749  0.423  0.172
S  0.749  0.750  0.577
S  0.749  0.828  0.250
S  0.026  0.190  0.446
S  0.026  0.256  0.810
S  0.026  0.554  0.744
S  0.521  0.143  0.221
S  0.521  0.078  0.857
S  0.521  0.779  0.922

---

No. 10
This record from Alexandria describes a PBEsol-optimized structure of RbSrMn2. The functional is meta-GGA SCAN.

Results
* calculated total energy: -19.16 eV per atom
* ΔE_f: 722 meV/atom
* M_tot: 8.62 μB per cell
* DOS(E_F): 5.80 states/eV/f.u.

Unit cell a=5.626 b=5.626 c=5.626 alpha=60.00 beta=60.00 gamma=60.00
Fractional positions:
Sr  0.500  0.500  0.500
Mn  0.250  0.250  0.250
Mn  0.750  0.750  0.750
Rb  0.000  0.000  0.000

---

No. 11
This record from Alexandria describes a PBEsol-optimized structure of Cd3ReRu. The functional is meta-GGA SCAN.

Results
* calculated total energy: -37.63 eV per atom
* ΔE_f: 1806 meV/atom
* M_tot: 4.51 μB per cell
* DOS(E_F): 2.08 states/eV/f.u.

Unit cell a=5.065 b=5.065 c=5.065 alpha=90.00 beta=90.00 gamma=90.00
Fractional positions:
Re  0.000  0.000  0.000
Ru  0.500  0.500  0.500
Cd  0.000  0.500  0.000
Cd  0.000  0.000  0.500
Cd  0.500  0.000  0.000

---

No. 12
This record from Alexandria describes a PBEsol-optimized structure of ZnGa2Pb. The functional is meta-GGA SCAN.

Results
* calculated total energy: -30.22 eV per atom
* ΔE_f: 282 meV/atom
* M_tot: 0.00 μB per cell
* DOS(E_F): 1.55 states/eV/f.u.

Unit cell a=4.902 b=4.902 c=4.902 alpha=60.00 beta=60.00 gamma=60.00
Fractional positions:
Pb  0.500  0.500  0.500
Zn  0.000  0.000  0.000
Ga  0.250  0.250  0.250
Ga  0.750  0.750  0.750

---

- Look up the DOS(E_F) of the tenth one.
  5.80 states/eV/f.u.